Entry 1:
First-principles (PBE) data for a relaxed NaC3N crystal, as listed in the Alexandria database.

Structure (CIF):
```
data_NaC3N
_chemical_formula_sum 'Na1 C3 N1'
_space_group_name_H-M_alt 'P m -3 m'
_space_group_IT_number 221
_space_group_name_Hall '-P 4 2 3'
_cell_length_a 3.716
_cell_length_b 3.716
_cell_length_c 3.716
_cell_angle_alpha 90.00
_cell_angle_beta 90.00
_cell_angle_gamma 90.00
loop_
_atom_site_label
_atom_site_type_symbol
_atom_site_fract_x
_atom_site_fract_y
_atom_site_fract_z
_atom_site_occupancy
Na1 Na 0.000 0.000 0.000 1
C1 C 0.000 0.500 0.500 1
N1 N 0.500 0.500 0.500 1
```

- calculated total energy (eV/cell) = -20.84
- magnetization (Bohr magnetons per cell) = 0.00
- V (Å³/cell) = 51
- ΔE to the lowest computed polymorph (eV per formula unit) = 0.00

=====

Entry 2:
First-principles (PBE) data for a relaxed NaCN crystal, as listed in the Alexandria database.

Structure (CIF):
```
data_NaCN
_chemical_formula_sum 'Na1 C1 N1'
_space_group_name_H-M_alt 'P 4/m m m'
_space_group_IT_number 123
_space_group_name_Hall '-P 4 2'
_cell_length_a 3.720
_cell_length_b 3.720
_cell_length_c 2.598
_cell_angle_alpha 90.00
_cell_angle_beta 90.00
_cell_angle_gamma 90.00
loop_
_atom_site_label
_atom_site_type_symbol
_atom_site_fract_x
_atom_site_fract_y
_atom_site_fract_z
_atom_site_occupancy
Na1 Na 0.000 0.000 0.000 1
C1 C 0.500 0.500 0.500 1
N1 N 0.500 0.500 0.000 1
```

- calculated total energy (eV/cell) = -15.89
- magnetization (Bohr magnetons per cell) = 0.00
- V (Å³/cell) = 36
- ΔE to the lowest computed polymorph (eV per formula unit) = 3.53

=====

Entry 3:
First-principles (PBE) data for a relaxed NaNd3C2N6 crystal, as listed in the Alexandria database.

Structure (CIF):
```
data_NaNd3C2N6
_chemical_formula_sum 'Na1 Nd3 C2 N6'
_space_group_name_H-M_alt 'P -3 m 1'
_space_group_IT_number 164
_space_group_name_Hall '-P 3 2"'
_cell_length_a 5.5083
_cell_length_b 5.5083
_cell_length_c 6.1621
_cell_angle_alpha 90.00
_cell_angle_beta 90.00
_cell_angle_gamma 120.00
loop_
_atom_site_label
_atom_site_type_symbol
_atom_site_fract_x
_atom_site_fract_y
_atom_site_fract_z
_atom_site_occupancy
Na1 Na 0.0000 0.0000 0.0000 1
Nd1 Nd 0.0000 0.0000 0.5000 1
Nd2 Nd 0.3333 0.6667 0.1612 1
C1 C 0.3333 0.6667 0.7480 1
N1 N 0.1909 0.3817 0.7656 1
```

- calculated total energy (eV/cell) = -92.53
- magnetization (Bohr magnetons per cell) = 0.00
- V (Å³/cell) = 162